Material: Ba2Tl5Hg
Method: DFT, PBE-GGA
State: relaxed

The structure in CIF format:
```
data_Ba2Tl5Hg
_cell_length_a 5.097
_cell_length_b 19.935
_cell_length_c 10.973
_cell_angle_alpha 90.00
_cell_angle_beta 90.00
_cell_angle_gamma 90.00
_symmetry_space_group_name_H-M 'C m c m'
_symmetry_Int_Tables_number 63
_symmetry_space_group_name_Hall '-C 2c 2'
loop_
_atom_site_label
_atom_site_type_symbol
_atom_site_fract_x
_atom_site_fract_y
_atom_site_fract_z
Ba1 Ba 0.000 0.000 0.000
Ba2 Ba 0.000 0.201 0.250
Tl1 Tl 0.000 0.195 0.601
Tl2 Tl 0.000 0.358 0.531
Tl3 Tl 0.000 0.400 0.250
Hg1 Hg 0.000 0.451 0.750
```

Properties
* energy: -73.49 eV/cell
* E above lowest polymorph: 0 meV per atom